DFT (GGA-PBEsol) results for a geometry-optimized SrReH2 structure.

Calculated values
* raw total energy: -5.1150 eV/atom
* DOS(E_F): 2.361 states/eV/f.u.

Cell: 5.1738 5.1738 5.1738 Å, 91.95 118.88 118.88°
Last column: nearest neighbours and their distance in Å.
Fractional positions:
Re: 0.0000 0.0000 0.0000  4 H 1.80
Re: 0.5000 0.7500 0.2500  4 H 1.80
H: 0.0895 0.7145 0.1250  2 Re 1.80
H: 0.9105 0.0355 0.6250  2 Re 1.80
H: 0.4105 0.3750 0.2855  2 Re 1.80
H: 0.5895 0.8750 0.9645  2 Re 1.80
Sr: 0.0000 0.5000 0.5000  4 H 2.39
Sr: 0.5000 0.2500 0.7500  4 H 2.39